{"formula": "Ac3PrHo3Se8", "functional": "PBE", "state": "relaxed", "lattice_angstrom": [[-4.968, 4.945, -4.610], [-0.614, -8.340, -0.651], [-2.792, 3.866, 7.159]], "species": ["Ac", "Ac", "Ac", "Pr", "Ho", "Ho", "Ho", "Se", "Se", "Se", "Se", "Se", "Se", "Se", "Se"], "frac_coords": [[0.000, 0.000, 0.000], [0.000, 0.500, 0.000], [0.500, 0.500, 0.000], [0.000, 0.000, 0.500], [0.500, 0.000, 0.500], [0.500, 0.500, 0.500], [0.000, 0.500, 0.500], [0.260, 0.520, 0.280], [0.740, 0.480, 0.720], [0.747, 0.493, 0.267], [0.253, 0.507, 0.733], [0.747, 0.020, 0.267], [0.253, 0.980, 0.733], [0.274, 0.020, 0.267], [0.726, 0.980, 0.733]], "crystal_system": "trigonal", "final_energy_ev_per_atom": -5.762, "e_form_raw_ev_per_atom": -1.85}

=====

{"formula": "SrEuPt4", "functional": "PBE", "state": "relaxed", "lattice_angstrom": [[5.542, 0.000, 0.000], [2.771, 4.799, 0.000], [2.771, 1.600, 4.525]], "species": ["Eu", "Sr", "Pt", "Pt", "Pt", "Pt"], "frac_coords": [[0.000, 0.000, 0.000], [0.250, 0.250, 0.250], [0.625, 0.625, 0.125], [0.625, 0.125, 0.625], [0.625, 0.625, 0.625], [0.125, 0.625, 0.625]], "crystal_system": "cubic", "final_energy_ev_per_atom": -6.932, "delta_e_f_mev_per_atom": -912.3}

=====

{"formula": "Ti2NbSn", "functional": "PBE", "state": "relaxed", "lattice_angstrom": [[-1.594, -2.949, -0.767], [3.026, -1.431, -0.789], [0.643, -1.872, 5.862]], "species": ["Nb", "Sn", "Ti", "Ti"], "frac_coords": [[0.500, 0.500, 0.000], [0.500, 0.500, 0.500], [0.000, 0.000, 0.766], [0.000, 0.000, 0.234]], "crystal_system": "tetragonal", "final_energy_ev_per_atom": -7.756, "delta_e_f_mev_per_atom": -290.6}

=====

{"formula": "KPuBeS3", "functional": "PBE", "state": "relaxed", "lattice_angstrom": [[-1.068, 2.139, -3.084], [-8.430, 0.077, 2.972], [4.064, 7.254, 3.625]], "species": ["K", "K", "Pu", "Pu", "Be", "Be", "S", "S", "S", "S", "S", "S"], "frac_coords": [[0.250, 0.194, 0.227], [0.750, 0.806, 0.773], [0.250, 0.666, 0.156], [0.750, 0.334, 0.844], [0.250, 0.076, 0.601], [0.750, 0.924, 0.399], [0.750, 0.886, 0.163], [0.250, 0.114, 0.837], [0.250, 0.837, 0.476], [0.750, 0.163, 0.524], [0.750, 0.454, 0.156], [0.250, 0.546, 0.844]], "crystal_system": "monoclinic", "final_energy_ev_per_atom": -6.609, "e_form_raw_ev_per_atom": -1.35}